A plane-wave DFT calculation with PBE was carried out for crystalline SbMoBr2 at its relaxed geometry.

Structure (CIF):
```
data_SbMoBr2
_symmetry_space_group_name_H-M 'C 1 2/m 1'
_symmetry_Int_Tables_number 12
_cell_length_a 15.969
_cell_length_b 3.215
_cell_length_c 4.684
_cell_angle_alpha 90.00
_cell_angle_beta 107.00
_cell_angle_gamma 90.00
loop_
_symmetry_equiv_pos_as_xyz
'x,y,z'
'-x,-y,-z'
'-x,y,-z'
'x,-y,z'
'x+1/2,y+1/2,z'
'-x+1/2,-y+1/2,-z'
'-x+1/2,y+1/2,-z'
'x+1/2,-y+1/2,z'
loop_
_atom_site_label
_atom_site_type_symbol
_atom_site_fract_x
_atom_site_fract_y
_atom_site_fract_z
_atom_site_occupancy
Sb1 Sb 0.000 0.000 0.000 1
Mo1 Mo 0.000 0.500 0.500 1
Br1 Br 0.145 0.000 0.644 1
```

Results
For the spin magnetization, the calculation gives 0.003 μB per cell. The value obtained for the calculated density is 5.45 g/cm³. For the uncorrected formation energy, the calculation gives 0.07 eV per atom. The energy above the most stable polymorph in this dataset comes out at 172.9 meV per atom.